No. 1
A relaxed KHoSiS4 crystal, computed with GGA-PBE.

spin magnetization = 0.0 μB/f.u.
crystal system = monoclinic

Lattice parameters (Å, degrees): 6.391 6.618 8.720 90.00 107.32 90.00
Element x y z (fractional)
S: 0.425 0.750 0.573
S: 0.575 0.250 0.427
S: 0.997 0.001 0.708
S: 0.424 0.750 0.174
S: 0.576 0.250 0.826
S: 0.997 0.499 0.708
S: 0.003 0.501 0.292
S: 0.003 0.999 0.292
Si: 0.227 0.750 0.330
Si: 0.773 0.250 0.670
K: 0.267 0.250 0.064
K: 0.733 0.750 0.936
Ho: 0.774 0.750 0.450
Ho: 0.226 0.250 0.550

***

No. 2
A relaxed K3Sm2HoS6 crystal, computed with GGA-PBE.

spin magnetization = 0.0 μB/f.u.
crystal system = monoclinic

Lattice parameters (Å, degrees): 7.114 7.114 7.755 98.80 98.80 120.00
Element x y z (fractional)
S: 0.605 0.932 0.796
S: 0.068 0.395 0.204
S: 0.741 0.741 0.204
S: 0.932 0.605 0.796
S: 0.395 0.068 0.204
S: 0.259 0.259 0.796
K: 0.833 0.167 0.500
K: 0.167 0.833 0.500
K: 0.500 0.500 0.500
Ho: 0.000 0.000 0.000
Sm: 0.667 0.333 0.000
Sm: 0.333 0.667 0.000

***

No. 3
A relaxed KSmHo4S8 crystal, computed with GGA-PBE.

spin magnetization = 0.0 μB/f.u.
crystal system = trigonal

Lattice parameters (Å, degrees): 8.181 8.181 8.264 60.33 60.33 60.00
Element x y z (fractional)
S: 0.230 0.754 0.262
S: 0.754 0.754 0.262
S: 0.238 0.238 0.726
S: 0.798 0.238 0.726
S: 0.232 0.232 0.303
S: 0.754 0.230 0.262
S: 0.757 0.757 0.728
S: 0.238 0.798 0.726
K: 0.372 0.372 0.883
Sm: 0.004 0.004 0.987
Ho: 0.004 0.004 0.504
Ho: 0.487 0.004 0.504
Ho: 0.004 0.487 0.504
Ho: 0.625 0.625 0.124

***

No. 4
A relaxed K2SmHoS4 crystal, computed with GGA-PBE.

spin magnetization = 0.0 μB/f.u.
crystal system = monoclinic

Lattice parameters (Å, degrees): 4.088 7.083 7.745 107.73 90.00 90.00
Element x y z (fractional)
S: 0.500 0.759 0.796
S: 0.000 0.728 0.202
S: 0.000 0.272 0.798
S: 0.500 0.241 0.204
Ho: 0.500 0.500 0.000
K: 0.500 0.000 0.500
K: 0.000 0.500 0.500
Sm: 0.000 0.000 0.000

***

Record-wise mass density values, in g cm⁻³: 3.40 3.98 4.67 4.06
Record-wise volume values, in Å³/cell: 352 324 393 214
Record-wise energy relative to the elements, uncorrected values, in eV per atom: -1.41 -1.87 -1.93 -1.88